VASP calculation (GGA-PBE) on crystalline PmTc at its relaxed geometry.

Calculated values
E_tot, eV per atom: -6.62
Excess energy over the best structure of this formula in the dataset, eV per formula unit: 1.480

a b c (Å): 3.661 3.661 7.295
angles (deg): 90.00 90.00 120.00
Each line ends with the local moment (μB).
Element x y z (fractional)
Pm 0.000 0.000 0.000  -0.01
Pm 0.000 0.000 0.500  -0.01
Tc 0.333 0.667 0.250  0.32
Tc 0.667 0.333 0.750  0.32